Record 1
# MoPRu | Alexandria | PBE-GGA | relaxed
data_MoPRu
_cell_length_a 4.134
_cell_length_b 4.697
_cell_length_c 5.223
_cell_angle_alpha 64.73
_cell_angle_beta 67.12
_cell_angle_gamma 74.56
_symmetry_space_group_name_H-M 'P 1'
_symmetry_Int_Tables_number 1
_symmetry_space_group_name_Hall 'P 1'
loop_
_atom_site_label
_atom_site_type_symbol
_atom_site_fract_x
_atom_site_fract_y
_atom_site_fract_z
Mo1 Mo 0.000 0.000 0.000
Mo2 Mo 0.460 0.408 0.845
P1 P 0.115 0.488 0.486
P2 P 0.664 0.912 0.733
Ru1 Ru 0.285 0.982 0.415
Ru2 Ru 0.748 0.444 0.247
# Uncorrected energy: -52.86 eV for the cell shown
# Crystal system: triclinic
# Energy relative to the lowest polymorph listed for this composition: 0.68 eV per formula unit
# Formation energy from the elements: -0.92 eV per formula unit

---

Record 2
# Rb3NaAl2F9 | Alexandria | PBE-GGA | relaxed
data_Rb3NaAl2F9
_cell_length_a 6.0073
_cell_length_b 6.0073
_cell_length_c 7.3201
_cell_angle_alpha 90.00
_cell_angle_beta 90.00
_cell_angle_gamma 120.00
_symmetry_space_group_name_H-M 'P -3 m 1'
_symmetry_Int_Tables_number 164
_symmetry_space_group_name_Hall '-P 3 2"'
loop_
_atom_site_label
_atom_site_type_symbol
_atom_site_fract_x
_atom_site_fract_y
_atom_site_fract_z
Rb1 Rb 0.0000 0.0000 0.0000
Rb2 Rb 0.3333 0.6667 0.6622
Na1 Na 0.0000 0.0000 0.5000
Al1 Al 0.3333 0.6667 0.1626
F1 F 0.0000 0.5000 0.0000
F2 F 0.1869 0.3737 0.3032
# Uncorrected energy: -72.80 eV for the cell shown
# Crystal system: trigonal
# Formation energy from raw total energies: -2950 meV per atom

---

Record 3
# SrNbGa2F | Alexandria | PBE-GGA | relaxed
data_SrNbGa2F
_cell_length_a 4.924
_cell_length_b 4.924
_cell_length_c 6.666
_cell_angle_alpha 90.00
_cell_angle_beta 90.00
_cell_angle_gamma 90.00
_symmetry_space_group_name_H-M 'P 4/m m m'
_symmetry_Int_Tables_number 123
_symmetry_space_group_name_Hall '-P 4 2'
loop_
_atom_site_label
_atom_site_type_symbol
_atom_site_fract_x
_atom_site_fract_y
_atom_site_fract_z
Sr1 Sr 0.000 0.000 0.000
Nb1 Nb 0.000 0.000 0.500
Ga1 Ga 0.000 0.500 0.500
F1 F 0.500 0.500 0.000
# Uncorrected energy: -19.63 eV for the cell shown
# Crystal system: tetragonal
# Formation energy from raw total energies: 10 meV per atom

---

Record 4
# ZnTe2Os | Alexandria | PBE-GGA | relaxed
data_ZnTe2Os
_cell_length_a 3.0801
_cell_length_b 3.0801
_cell_length_c 34.2969
_cell_angle_alpha 90.00
_cell_angle_beta 90.00
_cell_angle_gamma 120.00
_symmetry_space_group_name_H-M 'R -3 m'
_symmetry_Int_Tables_number 166
_symmetry_space_group_name_Hall '-R 3 2"'
loop_
_atom_site_label
_atom_site_type_symbol
_atom_site_fract_x
_atom_site_fract_y
_atom_site_fract_z
Zn1 Zn 0.0000 0.0000 0.0000
Te1 Te 0.0000 0.0000 0.4253
Os1 Os 0.0000 0.0000 0.5000
# Uncorrected energy: -47.59 eV for the cell shown
# Crystal system: trigonal
# Formation energy from raw total energies: 731 meV per atom

---

Record 5
# SbTe2Br | Alexandria | PBE-GGA | relaxed
data_SbTe2Br
_cell_length_a 7.624
_cell_length_b 7.624
_cell_length_c 7.624
_cell_angle_alpha 90.00
_cell_angle_beta 90.00
_cell_angle_gamma 90.00
_symmetry_space_group_name_H-M 'F -4 3 m'
_symmetry_Int_Tables_number 216
_symmetry_space_group_name_Hall 'F -4 2 3'
loop_
_atom_site_label
_atom_site_type_symbol
_atom_site_fract_x
_atom_site_fract_y
_atom_site_fract_z
Sb1 Sb 0.000 0.000 0.000
Te1 Te 0.000 0.000 0.500
Te2 Te 0.250 0.250 0.750
Br1 Br 0.250 0.250 0.250
# Uncorrected energy: -44.84 eV for the cell shown
# Crystal system: cubic
# Formation energy from raw total energies: 217 meV per atom
# Energy relative to the lowest polymorph listed for this composition: 1.57 eV per formula unit

---

Record 6
# HfPbI2N | Alexandria | PBE-GGA | relaxed
data_HfPbI2N
_cell_length_a 5.822
_cell_length_b 5.822
_cell_length_c 4.178
_cell_angle_alpha 90.00
_cell_angle_beta 90.00
_cell_angle_gamma 90.00
_symmetry_space_group_name_H-M 'P 4/m m m'
_symmetry_Int_Tables_number 123
_symmetry_space_group_name_Hall '-P 4 2'
loop_
_atom_site_label
_atom_site_type_symbol
_atom_site_fract_x
_atom_site_fract_y
_atom_site_fract_z
Hf1 Hf 0.000 0.000 0.000
Pb1 Pb 0.500 0.500 0.500
I1 I 0.000 0.500 0.000
N1 N 0.000 0.000 0.500
# Uncorrected energy: -25.78 eV for the cell shown
# Crystal system: tetragonal
# Formation energy from raw total energies: -139 meV per atom
# Energy relative to the lowest polymorph listed for this composition: 0.00 eV per formula unit

---

Record 7
# LiEuCdAg | Alexandria | PBE-GGA | relaxed
data_LiEuCdAg
_cell_length_a 7.199
_cell_length_b 7.199
_cell_length_c 7.199
_cell_angle_alpha 90.00
_cell_angle_beta 90.00
_cell_angle_gamma 90.00
_symmetry_space_group_name_H-M 'F -4 3 m'
_symmetry_Int_Tables_number 216
_symmetry_space_group_name_Hall 'F -4 2 3'
loop_
_atom_site_label
_atom_site_type_symbol
_atom_site_fract_x
_atom_site_fract_y
_atom_site_fract_z
Li1 Li 0.000 0.000 0.000
Eu1 Eu 0.250 0.250 0.250
Cd1 Cd 0.250 0.250 0.750
Ag1 Ag 0.000 0.000 0.500
# Uncorrected energy: -66.95 eV for the cell shown
# Crystal system: cubic
# Formation energy from the elements: -0.78 eV per formula unit

---

Record 8
# Pa2GaW | Alexandria | PBE-GGA | relaxed
data_Pa2GaW
_cell_length_a 4.436
_cell_length_b 4.436
_cell_length_c 4.222
_cell_angle_alpha 90.00
_cell_angle_beta 90.00
_cell_angle_gamma 90.00
_symmetry_space_group_name_H-M 'P 4/m m m'
_symmetry_Int_Tables_number 123
_symmetry_space_group_name_Hall '-P 4 2'
loop_
_atom_site_label
_atom_site_type_symbol
_atom_site_fract_x
_atom_site_fract_y
_atom_site_fract_z
Pa1 Pa 0.000 0.500 0.000
Ga1 Ga 0.000 0.000 0.500
W1 W 0.500 0.500 0.500
# Uncorrected energy: -34.91 eV for the cell shown
# Crystal system: tetragonal
# Energy relative to the lowest polymorph listed for this composition: 0.00 eV per formula unit
# Formation energy from the elements: 0.07 eV per formula unit